DFT (PBE+U) results for a relaxed GaPtWO2 crystal.

a = 3.856 Å, b = 5.549 Å, c = 3.856 Å
α = 90.00°, β = 90.00°, γ = 90.00°
Last column: magnetic moment on the atom in μB.
Atoms (fractional coordinates):
O 0.500 0.000 0.000  0.30
W 0.500 0.500 0.500  2.19
O 0.000 0.000 0.500  0.11
Pt 0.000 0.000 0.000  0.40
Ga 0.000 0.500 0.000  -0.12

Results
DFT total energy	-4.6756	eV per atom
theoretical density	9.7	Mg/m³
total magnetic moment	0.616	μB per atom